No. 1
DFT (GGA-PBEsol) results for a geometry-optimized CaYAg structure.

Cell: 3.5938 3.5938 12.8440 Å, 90.00 90.00 90.00°
Closest atoms and distances in Å follow each position.
Fractional coordinates of all 6 atoms:
Ca1 0.0000 0.0000 0.0000  4 Ag 3.19, 1 Y 3.56
Ca2 0.5000 0.5000 0.5000  4 Ag 3.19, 1 Y 3.56
Y1 0.0000 0.0000 0.7232  4 Ag 3.01
Y2 0.5000 0.5000 0.2232  4 Ag 3.01
Ag1 0.0000 0.0000 0.3494  4 Y 3.01, 4 Ca 3.19
Ag2 0.5000 0.5000 0.8494  4 Y 3.01, 4 Ca 3.19

Results
Magnetic moment (μB per formula unit): 0.0
ΔE to the lowest computed polymorph (eV/atom): 0.0000
ΔH_f (0 K) (eV per atom): -0.162
Space group: No. 107


No. 2
DFT (GGA-PBEsol) results for a geometry-optimized CaYAg2 structure.

Cell: 7.1771 7.1771 7.1771 Å, 90.00 90.00 90.00°
Closest atoms and distances in Å follow each position.
Fractional coordinates of all 16 atoms:
Ca1 0.0000 0.0000 0.0000  8 Ag 3.11
Ca2 0.0000 0.5000 0.5000  8 Ag 3.11
Ca3 0.5000 0.0000 0.5000  8 Ag 3.11
Ca4 0.5000 0.5000 0.0000  8 Ag 3.11
Y1 0.0000 0.0000 0.5000  8 Ag 3.11
Y2 0.0000 0.5000 0.0000  8 Ag 3.11
Y3 0.5000 0.0000 0.0000  8 Ag 3.11
Y4 0.5000 0.5000 0.5000  8 Ag 3.11
Ag1 0.2500 0.2500 0.2500  4 Ca 3.11, 4 Y 3.11
Ag2 0.2500 0.2500 0.7500  4 Ca 3.11, 4 Y 3.11
Ag3 0.2500 0.7500 0.2500  4 Ca 3.11, 4 Y 3.11
Ag4 0.2500 0.7500 0.7500  4 Ca 3.11, 4 Y 3.11
Ag5 0.7500 0.2500 0.2500  4 Ca 3.11, 4 Y 3.11
Ag6 0.7500 0.2500 0.7500  4 Ca 3.11, 4 Y 3.11
Ag7 0.7500 0.7500 0.2500  4 Ca 3.11, 4 Y 3.11
Ag8 0.7500 0.7500 0.7500  4 Ca 3.11, 4 Y 3.11

Results
Magnetic moment (μB per formula unit): 0.0
ΔE to the lowest computed polymorph (eV/atom): 0.0181
ΔH_f (0 K) (eV per atom): -0.298
Space group: No. 225


No. 3
DFT (GGA-PBEsol) results for a geometry-optimized CaY2Ag structure.

Cell: 3.6041 5.4534 11.5054 Å, 90.00 90.00 90.00°
Closest atoms and distances in Å follow each position.
Fractional coordinates of all 8 atoms:
Ca1 0.0000 0.0000 0.0000  4 Ag 3.27, 2 Ca 3.60, 4 Y 3.64
Ca2 0.5000 0.5000 0.5000  4 Ag 3.27, 2 Ca 3.60, 4 Y 3.64
Y1 0.0000 0.5000 0.2091  2 Ag 3.01
Y2 0.0000 0.5000 0.7909  2 Ag 3.01
Y3 0.5000 0.0000 0.2909  2 Ag 3.01
Y4 0.5000 0.0000 0.7091  2 Ag 3.01
Ag1 0.0000 0.0000 0.5000  4 Y 3.01, 4 Ca 3.27
Ag2 0.5000 0.5000 0.0000  4 Y 3.01, 4 Ca 3.27

Results
Magnetic moment (μB per formula unit): 0.0
ΔE to the lowest computed polymorph (eV/atom): 0.0214
ΔH_f (0 K) (eV per atom): -0.082
Space group: No. 71


No. 4
DFT (GGA-PBEsol) results for a geometry-optimized CaYAg structure.

Cell: 6.9264 6.9264 6.9264 Å, 90.00 90.00 90.00°
Closest atoms and distances in Å follow each position.
Fractional coordinates of all 12 atoms:
Ca1 0.0000 0.0000 0.0000  4 Ag 3.00, 4 Y 3.00
Ca2 0.0000 0.5000 0.5000  4 Ag 3.00, 4 Y 3.00
Ca3 0.5000 0.0000 0.5000  4 Ag 3.00, 4 Y 3.00
Ca4 0.5000 0.5000 0.0000  4 Ag 3.00, 4 Y 3.00
Y1 0.2500 0.2500 0.7500  4 Ca 3.00
Y2 0.2500 0.7500 0.2500  4 Ca 3.00
Y3 0.7500 0.2500 0.2500  4 Ca 3.00
Y4 0.7500 0.7500 0.7500  4 Ca 3.00
Ag1 0.2500 0.2500 0.2500  4 Ca 3.00
Ag2 0.2500 0.7500 0.7500  4 Ca 3.00
Ag3 0.7500 0.2500 0.7500  4 Ca 3.00
Ag4 0.7500 0.7500 0.2500  4 Ca 3.00

Results
Magnetic moment (μB per formula unit): 0.0
ΔE to the lowest computed polymorph (eV/atom): 0.7821
ΔH_f (0 K) (eV per atom): 0.620
Space group: No. 216


No. 5
DFT (GGA-PBEsol) results for a geometry-optimized CaY2Ag structure.

Cell: 3.6272 3.6272 8.5623 Å, 90.00 90.00 90.00°
Closest atoms and distances in Å follow each position.
Fractional coordinates of all 4 atoms:
Ca1 0.0000 0.0000 0.0000  4 Ag 3.17, 1 Y 3.52
Y1 0.0000 0.0000 0.5890  4 Ag 3.06
Y2 0.5000 0.5000 0.3179  8 Y 3.46-3.63, 4 Ca 3.74
Ag1 0.5000 0.5000 0.7829  4 Y 3.06, 4 Ca 3.17

Results
Magnetic moment (μB per formula unit): 0.0
ΔE to the lowest computed polymorph (eV/atom): 0.0000
ΔH_f (0 K) (eV per atom): -0.103
Space group: No. 99


No. 6
DFT (GGA-PBEsol) results for a geometry-optimized CaYAg4 structure.

Cell: 5.6032 5.6032 5.6032 Å, 60.00 60.00 60.00°
Closest atoms and distances in Å follow each position.
Fractional coordinates of all 6 atoms:
Ca1 0.0000 0.0000 0.0000  12 Ag 3.28, 4 Y 3.43
Y1 0.2500 0.2500 0.2500  12 Ag 3.29, 4 Ca 3.43
Ag1 0.1245 0.6252 0.6252  6 Ag 2.80-2.81
Ag2 0.6252 0.1245 0.6252  6 Ag 2.80-2.81
Ag3 0.6252 0.6252 0.1245  6 Ag 2.80-2.81
Ag4 0.6252 0.6252 0.6252  6 Ag 2.80-2.81

Results
Magnetic moment (μB per formula unit): 0.0
ΔH_f (0 K) (eV per atom): -0.228
Space group: No. 216


No. 7
DFT (GGA-PBEsol) results for a geometry-optimized CaYAg2 structure.

Cell: 3.5825 3.5825 7.3248 Å, 90.00 90.00 90.00°
Closest atoms and distances in Å follow each position.
Fractional coordinates of all 4 atoms:
Ca1 0.0000 0.0000 0.0000  8 Ag 3.21, 4 Ca 3.58
Y1 0.0000 0.0000 0.5000  8 Ag 3.04
Ag1 0.5000 0.5000 0.2697  4 Y 3.04, 4 Ca 3.21, 1 Ag 3.37
Ag2 0.5000 0.5000 0.7303  4 Y 3.04, 4 Ca 3.21, 1 Ag 3.37

Results
Magnetic moment (μB per formula unit): 0.0
ΔE to the lowest computed polymorph (eV/atom): 0.0000
ΔH_f (0 K) (eV per atom): -0.316
Space group: No. 123


No. 8
DFT (GGA-PBEsol) results for a geometry-optimized CaZnAg structure.

Cell: 10.5148 4.5603 7.1646 Å, 90.00 132.62 90.00°
Closest atoms and distances in Å follow each position.
Fractional coordinates of all 12 atoms:
Ca1 0.0509 0.0000 0.3043  6 Ag 3.11-3.31, 6 Zn 3.13-3.32
Ca2 0.4491 0.5000 0.6957  6 Ag 3.11-3.31, 6 Zn 3.13-3.32
Ca3 0.5509 0.5000 0.3043  6 Ag 3.11-3.31, 6 Zn 3.13-3.32
Ca4 0.9491 0.0000 0.6957  6 Ag 3.11-3.31, 6 Zn 3.13-3.32
Zn1 0.1586 0.5000 0.1026  1 Zn 2.58, 3 Ag 2.63-2.73
Zn2 0.3414 0.0000 0.8974  1 Zn 2.58, 3 Ag 2.63-2.73
Zn3 0.6586 0.0000 0.1026  1 Zn 2.58, 3 Ag 2.63-2.73
Zn4 0.8414 0.5000 0.8974  1 Zn 2.58, 3 Ag 2.63-2.73
Ag1 0.1711 0.5000 0.7335  3 Zn 2.63-2.73, 1 Ag 2.80
Ag2 0.3289 0.0000 0.2665  3 Zn 2.63-2.73, 1 Ag 2.80
Ag3 0.6711 0.0000 0.7335  3 Zn 2.63-2.73, 1 Ag 2.80
Ag4 0.8289 0.5000 0.2665  3 Zn 2.63-2.73, 1 Ag 2.80

Results
Magnetic moment (μB per formula unit): 0.0
ΔH_f (0 K) (eV per atom): -0.293
Space group: No. 12


Question: Among the records above, which one has the highest ΔH_f (0 K)?
Answer: number 4